(1)
# Ca2YCd6, relaxed, DFT PBE-GGA
# DOS at the Fermi energy	5.4	states/eV per cell
# magnetic moment	0.0	μB per formula unit
# DFT formation energy	-0.33	eV per atom
data_Ca2YCd6
_cell_length_a 8.6729
_cell_length_b 8.6729
_cell_length_c 3.5315
_cell_angle_alpha 90.00
_cell_angle_beta 90.00
_cell_angle_gamma 120.00
_space_group_name_H-M_alt 'P 6/m m m'
_space_group_IT_number 191
_space_group_name_Hall '-P 6 2'
loop_
_atom_site_label
_atom_site_type_symbol
_atom_site_fract_x
_atom_site_fract_y
_atom_site_fract_z
Ca1 Ca 0.3333 0.6667 0.0000
Y1 Y 0.0000 0.0000 0.0000
Cd1 Cd 0.0000 0.3327 0.5000

(2)
# Al2ZnIn, relaxed, DFT PBE-GGA
# DOS at the Fermi energy	2.6	states/eV per cell
# magnetic moment	0.0	μB per formula unit
# DFT formation energy	0.13	eV per atom
data_Al2ZnIn
_cell_length_a 8.9586
_cell_length_b 3.2323
_cell_length_c 5.4990
_cell_angle_alpha 90.00
_cell_angle_beta 104.57
_cell_angle_gamma 90.00
_space_group_name_H-M_alt 'C 1 2/m 1'
_space_group_IT_number 12
_space_group_name_Hall '-C 2y'
loop_
_atom_site_label
_atom_site_type_symbol
_atom_site_fract_x
_atom_site_fract_y
_atom_site_fract_z
Al1 Al 0.2408 0.0000 0.2136
Zn1 Zn 0.0000 0.5000 0.0000
In1 In 0.0000 0.0000 0.5000

(3)
# PuTl2Hg, relaxed, DFT PBE-GGA
# DOS at the Fermi energy	59.5	states/eV per cell
# magnetic moment	5.8	μB per formula unit
# distance to the lowest polymorph of the same formula	31	kJ/mol of formula units
# DFT formation energy	0.04	eV per atom
data_PuTl2Hg
_cell_length_a 7.5604
_cell_length_b 7.5604
_cell_length_c 7.5604
_cell_angle_alpha 90.00
_cell_angle_beta 90.00
_cell_angle_gamma 90.00
_space_group_name_H-M_alt 'F m -3 m'
_space_group_IT_number 225
_space_group_name_Hall '-F 4 2 3'
loop_
_atom_site_label
_atom_site_type_symbol
_atom_site_fract_x
_atom_site_fract_y
_atom_site_fract_z
Pu1 Pu 0.0000 0.0000 0.0000
Tl1 Tl 0.2500 0.2500 0.2500
Hg1 Hg 0.0000 0.0000 0.5000

(4)
# Ca2WAu, relaxed, DFT PBE-GGA
# DOS at the Fermi energy	11.1	states/eV per cell
# magnetic moment	3.1	μB per formula unit
# distance to the lowest polymorph of the same formula	113	kJ/mol of formula units
# DFT formation energy	0.59	eV per atom
data_Ca2WAu
_cell_length_a 7.2694
_cell_length_b 7.2694
_cell_length_c 7.2694
_cell_angle_alpha 90.00
_cell_angle_beta 90.00
_cell_angle_gamma 90.00
_space_group_name_H-M_alt 'F m -3 m'
_space_group_IT_number 225
_space_group_name_Hall '-F 4 2 3'
loop_
_atom_site_label
_atom_site_type_symbol
_atom_site_fract_x
_atom_site_fract_y
_atom_site_fract_z
Ca1 Ca 0.2500 0.2500 0.2500
W1 W 0.0000 0.0000 0.0000
Au1 Au 0.0000 0.0000 0.5000

(5)
# CePu2Ir, relaxed, DFT PBE-GGA
# DOS at the Fermi energy	11.6	states/eV per cell
# magnetic moment	11.8	μB per formula unit
# distance to the lowest polymorph of the same formula	44	kJ/mol of formula units
# DFT formation energy	-0.14	eV per atom
data_CePu2Ir
_cell_length_a 4.8348
_cell_length_b 4.8348
_cell_length_c 3.8316
_cell_angle_alpha 90.00
_cell_angle_beta 90.00
_cell_angle_gamma 90.00
_space_group_name_H-M_alt 'P 4/m m m'
_space_group_IT_number 123
_space_group_name_Hall '-P 4 2'
loop_
_atom_site_label
_atom_site_type_symbol
_atom_site_fract_x
_atom_site_fract_y
_atom_site_fract_z
Ce1 Ce 0.0000 0.0000 0.0000
Pu1 Pu 0.0000 0.5000 0.5000
Ir1 Ir 0.5000 0.5000 0.0000

(6)
# MgZrRe2, relaxed, DFT PBE-GGA
# DOS at the Fermi energy	2.7	states/eV per cell
# magnetic moment	0.0	μB per formula unit
# DFT formation energy	0.21	eV per atom
data_MgZrRe2
_cell_length_a 2.9244
_cell_length_b 4.0998
_cell_length_c 5.8104
_cell_angle_alpha 90.00
_cell_angle_beta 90.00
_cell_angle_gamma 90.00
_space_group_name_H-M_alt 'P m m 2'
_space_group_IT_number 25
_space_group_name_Hall 'P 2 -2'
loop_
_atom_site_label
_atom_site_type_symbol
_atom_site_fract_x
_atom_site_fract_y
_atom_site_fract_z
Mg1 Mg 0.0000 0.0000 0.0000
Zr1 Zr 0.5000 0.5000 0.7273
Re1 Re 0.0000 0.0000 0.4629
Re2 Re 0.5000 0.5000 0.2653

- Among the records above, which one has the lowest DOS at the Fermi energy?
  Al2ZnIn